Here is an optimized crystal structure of KAl2Cu from Alexandria via LeMat-Bulk. Energies are from PBE.

Results
N(E_F) (states/eV/atom): 0.60
ΔE to the lowest computed polymorph (meV per atom): 128.7
Energy of formation from the pure elements (eV per atom): 0.1323
Calculated total energy (eV per atom): -3.037

Unit cell a=3.0014 b=3.2875 c=8.4530 alpha=90.00 beta=90.13 gamma=90.00
Space group P2/m (No. 10)
One atom of each set of equivalent atoms:
K  0.0000  0.0000  0.0000 (multiplicity 1)
Al  0.4994  0.5000  0.3322 (multiplicity 2)
Cu  0.0000  0.0000  0.5000 (multiplicity 1)